Density functional theory data (GGA-PBE) for a relaxed structure of ZrCu3H.

The structure belongs to space group Pm-3m (No. 221); the cell edges are 5.1084, 5.1084 and 5.1084 Å and the angles 90.00°, 90.00° and 90.00°. Symmetry generates all atoms from Zr at (0.0000, 0.0000, 0.0000), Cu at (0.0000, 0.0000, 0.5000) and H at (0.5000, 0.5000, 0.5000).

The size of the total moment comes out at 0.23 μB per cell. Its volume is 26.66 Å³/atom. As for the total energy: -15.365 eV per cell. For the relative energy among the computed polymorphs, the calculation gives 146.2 kJ per mole of atoms.